The following is a GGA-PBE calculation of a geometry-optimized K2OsPt structure, from Alexandria via LeMat-Bulk.

Calculated values
theoretical density = 7.00 Mg/m³
energy above the lowest structure with this stoichiometry = 1170 meV/atom
formation energy = 6.575 eV/f.u.

Cell lengths 7.6056, 7.6056, 7.6056 Å; angles 90.00, 90.00, 90.00 degrees
Last column: nearest neighbours and their distance in Å.
Space group Fm-3m (No. 225)
Asymmetric unit:
K (0.2500, 0.2500, 0.2500) [8 per cell]  4 Pt 3.29, 4 Os 3.29
Os (0.0000, 0.0000, 0.0000) [4 per cell]  8 K 3.29
Pt (0.0000, 0.0000, 0.5000) [4 per cell]  8 K 3.29